1.
Material: Li2MnVP2H2O10
Method: DFT, PBE+U
State: relaxed

Properties
- Energy relative to the lowest polymorph listed for this composition: 0.0023 eV per atom

Structure (CIF):
```
data_Li2MnVP2H2O10
_chemical_formula_sum 'Li4 Mn2 V2 P4 H4 O20'
_space_group_name_H-M_alt 'P 1'
_space_group_IT_number 1
_space_group_name_Hall 'P 1'
_cell_length_a 6.880
_cell_length_b 7.532
_cell_length_c 7.832
_cell_angle_alpha 115.97
_cell_angle_beta 92.50
_cell_angle_gamma 91.23
loop_
_atom_site_label
_atom_site_type_symbol
_atom_site_fract_x
_atom_site_fract_y
_atom_site_fract_z
_atom_site_occupancy
Li1 Li 0.000 0.000 0.000 1
Li2 Li 0.187 0.318 0.969 1
Li3 Li 0.496 0.506 0.488 1
Li4 Li 0.685 0.824 0.458 1
Mn1 Mn 0.092 0.160 0.481 1
Mn2 Mn 0.341 0.912 0.727 1
V1 V 0.591 0.664 0.977 1
V2 V 0.844 0.412 0.232 1
P1 P 0.248 0.678 0.261 1
P2 P 0.435 0.139 0.195 1
P3 P 0.743 0.186 0.771 1
P4 P 0.942 0.647 0.690 1
H1 H 0.293 0.598 0.745 1
H2 H 0.383 0.228 0.703 1
H3 H 0.800 0.093 0.263 1
H4 H 0.891 0.729 0.205 1
O1 O 0.068 0.829 0.706 1
O2 O 0.071 0.478 0.673 1
O3 O 0.117 0.848 0.283 1
O4 O 0.122 0.497 0.248 1
O5 O 0.260 0.152 0.695 1
O6 O 0.282 0.087 0.028 1
O7 O 0.338 0.223 0.390 1
O8 O 0.347 0.592 0.067 1
O9 O 0.403 0.737 0.428 1
O10 O 0.419 0.675 0.759 1
O11 O 0.564 0.963 0.166 1
O12 O 0.567 0.318 0.215 1
O13 O 0.613 0.005 0.749 1
O14 O 0.618 0.362 0.795 1
O15 O 0.766 0.650 0.187 1
O16 O 0.792 0.585 0.515 1
O17 O 0.833 0.732 0.878 1
O18 O 0.849 0.103 0.581 1
O19 O 0.892 0.240 0.945 1
O20 O 0.923 0.168 0.272 1
```

***

2.
Material: Ca2VInO6
Method: DFT, PBE+U
State: relaxed

Properties
- Density of states at the Fermi level: 0.0 states/eV/cell
- Electronic total energy: -66.3 eV/f.u.

Structure (CIF):
```
data_Ca2VInO6
_chemical_formula_sum 'Ca2 V1 In1 O6'
_space_group_name_H-M_alt 'P 1'
_space_group_IT_number 1
_space_group_name_Hall 'P 1'
_cell_length_a 5.390
_cell_length_b 5.390
_cell_length_c 4.818
_cell_angle_alpha 90.00
_cell_angle_beta 90.00
_cell_angle_gamma 90.00
loop_
_atom_site_label
_atom_site_type_symbol
_atom_site_fract_x
_atom_site_fract_y
_atom_site_fract_z
_atom_site_occupancy
Ca1 Ca 0.000 0.500 0.000 1
Ca2 Ca 0.500 0.000 0.000 1
V1 V 0.000 0.000 0.595 1
In1 In 0.500 0.500 0.572 1
O1 O 0.000 0.000 0.240 1
O2 O 0.233 0.233 0.713 1
O3 O 0.233 0.767 0.713 1
O4 O 0.500 0.500 0.148 1
O5 O 0.767 0.233 0.713 1
O6 O 0.767 0.767 0.713 1
```